Entry 1:
18
Lattice="8.136 0.000 0.000 0.000 8.214 0.000 -2.693 0.000 7.620" Properties=species:S:1:pos:R:3 comment="K2Na3Au4 | Alexandria via LeMat-Bulk | PBE | optimized geometry" space_group="P2_1/c (14)" dos_at_fermi_per_ev_fu=2.95 delta_e_f_ev_per_atom=-0.291 pbc="T T T"
K 1.358 1.389 0.442
K 0.012 2.718 4.252
K 5.431 5.496 3.369
K 4.085 6.825 7.179
Na 1.379 5.503 1.903
Na 0.033 6.817 5.714
Na 2.721 0.000 3.810
Na 4.068 4.107 0.000
Na 5.410 1.397 1.907
Na 4.064 2.710 5.717
Au -1.669 4.462 6.657
Au -0.322 7.858 2.847
Au 2.347 5.116 4.773
Au 3.694 7.204 0.963
Au 1.749 1.009 6.658
Au 3.095 3.098 2.848
Au 5.765 0.355 4.773
Au 7.112 3.751 0.963



Entry 2:
12
Lattice="4.641 0.000 0.000 0.000 5.671 0.000 0.000 0.000 9.841" Properties=species:S:1:pos:R:3 comment="KNaAu10 | Alexandria via LeMat-Bulk | PBE | optimized geometry" space_group="Pmmm (47)" dos_at_fermi_per_ev_fu=2.14 delta_e_f_ev_per_atom=-0.211 pbc="T T T"
K 0.000 0.000 0.000
Na 0.000 2.836 4.920
Au 0.000 0.000 3.344
Au 0.000 0.000 6.497
Au 0.000 2.836 1.728
Au 0.000 2.836 8.113
Au 2.321 0.000 4.920
Au 2.321 1.421 2.483
Au 2.321 1.421 7.358
Au 2.321 2.836 0.000
Au 2.321 4.250 2.483
Au 2.321 4.250 7.358



Entry 3:
16
Lattice="8.362 0.000 0.000 0.000 8.362 0.000 0.000 0.000 8.362" Properties=species:S:1:pos:R:3 comment="K2NaAu | Alexandria via LeMat-Bulk | PBE | optimized geometry" space_group="Fm-3m (225)" e_above_lowest_polymorph_ev_per_atom=0.057 dos_at_fermi_per_ev_fu=1.43 delta_e_f_ev_per_atom=-0.100 pbc="T T T"
K 2.091 2.091 2.091
K 2.091 2.091 6.272
K 2.091 6.272 2.091
K 2.091 6.272 6.272
K 6.272 2.091 2.091
K 6.272 2.091 6.272
K 6.272 6.272 2.091
K 6.272 6.272 6.272
Na 0.000 0.000 0.000
Na 0.000 4.181 4.181
Na 4.181 0.000 4.181
Na 4.181 4.181 0.000
Au 0.000 0.000 4.181
Au 0.000 4.181 0.000
Au 4.181 0.000 0.000
Au 4.181 4.181 4.181



Entry 4:
14
Lattice="9.361 -2.482 0.000 9.361 2.482 0.000 -7.042 0.000 9.410" Properties=species:S:1:pos:R:3 comment="K3Na7Au4 | Alexandria via LeMat-Bulk | PBE | optimized geometry" space_group="C2/m (12)" dos_at_fermi_per_ev_fu=5.63 delta_e_f_ev_per_atom=-0.209 pbc="T T T"
K 0.000 0.000 0.000
K 3.655 0.000 2.662
K 8.026 0.000 6.748
Na -3.521 0.000 4.705
Na 0.183 0.000 3.980
Na -1.006 0.000 9.211
Na 4.103 0.000 6.732
Na 7.578 0.000 2.678
Na 12.687 0.000 0.199
Na 11.498 0.000 5.430
Au -3.752 0.000 7.767
Au 1.095 0.000 6.970
Au 10.586 0.000 2.439
Au 15.433 0.000 1.642



Entry 5:
8
Lattice="11.015 0.000 0.000 0.000 7.206 0.000 -2.034 0.000 4.281" Properties=species:S:1:pos:R:3 comment="K2NaAu | Alexandria via LeMat-Bulk | PBE | optimized geometry" space_group="C2 (5)" e_above_lowest_polymorph_ev_per_atom=0.008 dos_at_fermi_per_ev_fu=2.08 delta_e_f_ev_per_atom=-0.148 pbc="T T T"
K 1.756 0.000 0.838
K 1.718 3.603 3.444
K 7.263 3.603 0.838
K 7.225 0.000 3.444
Na 0.000 3.506 0.000
Na 5.508 7.109 0.000
Au -1.017 1.678 2.141
Au 4.491 5.281 2.141



Entry 6:
9
Lattice="7.808 -4.510 0.000 7.808 4.510 0.000 -5.209 0.000 7.366" Properties=species:S:1:pos:R:3 comment="K6Na2Au | Alexandria via LeMat-Bulk | PBE | optimized geometry" space_group="C2/m (12)" dos_at_fermi_per_ev_fu=4.96 delta_e_f_ev_per_atom=-0.049 pbc="T T T"
K 2.564 0.000 1.807
K 6.529 2.290 1.815
K 3.879 2.290 5.551
K 6.529 -2.290 1.815
K 3.879 -2.290 5.551
K 7.844 0.000 5.559
Na -0.001 0.000 5.522
Na 10.409 0.000 1.843
Au 5.204 0.000 3.683



Entry 7:
16
Lattice="11.726 0.000 0.000 0.000 11.726 0.000 0.000 0.000 5.856" Properties=species:S:1:pos:R:3 comment="K2NaAu | Alexandria via LeMat-Bulk | PBE | optimized geometry" space_group="I-42d (122)" e_above_lowest_polymorph_ev_per_atom=0.054 dos_at_fermi_per_ev_fu=0.81 delta_e_f_ev_per_atom=-0.103 pbc="T T T"
K 1.286 2.931 0.732
K 2.931 7.149 2.196
K 2.931 10.440 5.124
K 4.577 2.931 3.660
K 7.149 8.794 3.660
K 8.794 1.286 5.124
K 8.794 4.577 2.196
K 10.440 8.794 0.732
Na 0.000 0.000 2.928
Na 0.000 5.863 4.392
Na 5.863 0.000 1.464
Na 5.863 5.863 0.000
Au 0.000 0.000 0.000
Au 0.000 5.863 1.464
Au 5.863 0.000 4.392
Au 5.863 5.863 2.928



Entry 8:
12
Lattice="4.364 0.000 0.000 -2.182 3.779 0.000 0.000 0.000 35.503" Properties=species:S:1:pos:R:3 comment="K2NaAu | Alexandria via LeMat-Bulk | PBE | optimized geometry" space_group="R-3m (166)" e_above_lowest_polymorph_ev_per_atom=0.093 dos_at_fermi_per_ev_fu=1.54 delta_e_f_ev_per_atom=-0.063 pbc="T T T"
K 0.000 0.000 3.817
K 0.000 0.000 31.686
K 0.000 2.519 19.852
K 0.000 2.519 27.486
K 2.182 1.260 8.017
K 2.182 1.260 15.652
Na 0.000 0.000 0.000
Na 0.000 2.519 23.669
Na 2.182 1.260 11.834
Au 0.000 0.000 17.752
Au 0.000 2.519 5.917
Au 2.182 1.260 29.586



Entry 9:
13
Lattice="-2.845 5.071 5.212 2.845 -5.071 5.212 2.845 5.071 -5.212" Properties=species:S:1:pos:R:3 comment="KNa6Au6 | Alexandria via LeMat-Bulk | PBE | optimized geometry" space_group="Immm (71)" dos_at_fermi_per_ev_fu=2.63 delta_e_f_ev_per_atom=-0.305 pbc="T T T"
K 0.000 0.000 0.000
Na 2.845 1.874 0.000
Na 0.000 0.000 3.462
Na 0.000 3.530 0.000
Na 0.000 6.612 0.000
Na 0.000 0.000 6.962
Na 0.000 3.197 5.212
Au 1.422 2.535 -2.606
Au 1.422 -2.535 2.606
Au 2.845 0.000 2.465
Au -1.422 2.535 2.606
Au 1.422 2.535 2.606
Au 0.000 5.071 2.747



Entry 10:
14
Lattice="8.072 0.000 0.000 0.000 8.072 0.000 0.000 0.000 8.072" Properties=species:S:1:pos:R:3 comment="KNa3Au3 | Alexandria via LeMat-Bulk | PBE | optimized geometry" space_group="Pm-3n (223)" dos_at_fermi_per_ev_fu=4.03 delta_e_f_ev_per_atom=-0.073 pbc="T T T"
K 0.000 0.000 0.000
K 4.036 4.036 4.036
Na 0.000 2.018 4.036
Na 0.000 6.054 4.036
Na 2.018 4.036 0.000
Na 4.036 0.000 2.018
Na 4.036 0.000 6.054
Na 6.054 4.036 0.000
Au 0.000 4.036 2.018
Au 0.000 4.036 6.054
Au 2.018 0.000 4.036
Au 4.036 2.018 0.000
Au 4.036 6.054 0.000
Au 6.054 0.000 4.036



Entry 11:
17
Lattice="6.419 -7.680 0.000 6.419 7.680 0.000 -2.130 0.000 7.795" Properties=species:S:1:pos:R:3 comment="K11NaAu5 | Alexandria via LeMat-Bulk | PBE | optimized geometry" space_group="C2/m (12)" dos_at_fermi_per_ev_fu=9.07 delta_e_f_ev_per_atom=-0.163 pbc="T T T"
K 0.000 0.000 0.000
K 4.856 4.067 1.504
K 2.763 1.973 4.726
K 5.851 4.067 6.291
K 3.944 0.000 0.915
K 2.763 -1.973 4.726
K 7.944 1.973 3.069
K 6.763 0.000 6.880
K 4.856 -4.067 1.504
K 7.944 -1.973 3.069
K 5.851 -4.067 6.291
Na -1.065 0.000 3.898
Au 1.728 2.575 1.641
Au 1.728 -2.575 1.641
Au 5.354 0.000 3.898
Au 8.979 2.575 6.154
Au 8.979 -2.575 6.154